Material: LiHoMn2O4
Method: DFT, GGA+U
State: optimized geometry

```
LiHoMn2O4
1.0
5.4403 0.0000 0.0000
0.0000 3.3011 0.0000
-1.6449 0.0000 5.2461
Li Ho Mn O
1 1 2 4
Direct
0.0000 0.0000 0.0000 Li
0.5000 0.5000 0.0000 Ho
0.0000 0.5000 0.5000 Mn
0.5000 0.0000 0.5000 Mn
0.2520 0.0000 0.7616 O
0.2585 0.5000 0.2675 O
0.7415 0.5000 0.7325 O
0.7480 0.0000 0.2384 O
```

M_tot   10.00 μB/f.u.
Space group   No. 10
Uncorrected energy   -7.404 eV per atom